Entry 1:
The following is a DFT calculation (PBE) of a geometry-optimized TmTcS structure.

Structure (POSCAR):
```
TmTcS
1.0
3.5702 0.0000 0.0000
0.0000 3.5702 0.0000
0.0000 0.0000 8.7024
Tc S Tm
2 2 2
direct
0.0000 0.5000 0.0659
0.5000 0.0000 0.9341
0.5000 0.0000 0.6381
0.0000 0.5000 0.3619
0.0000 0.5000 0.7147
0.5000 0.0000 0.2853
```

Output
Energy relative to the elements, uncorrected: -0.932 eV/atom

=====

Entry 2:
The following is a DFT calculation (PBE) of a geometry-optimized UTcS4 structure.

Structure (POSCAR):
```
UTcS4
1.0
6.6012 0.0000 -1.8851
0.0000 5.7838 0.0000
-2.0389 0.0000 7.0506
S U Tc
8 2 2
direct
0.6591 0.2564 0.3455
0.8562 0.7525 0.2025
0.6438 0.2525 0.7975
0.3562 0.7475 0.2025
0.1438 0.2475 0.7975
0.1591 0.2436 0.3455
0.8409 0.7564 0.6545
0.3409 0.7436 0.6545
0.0000 0.0000 0.0000
0.5000 0.5000 0.0000
0.0000 0.5000 0.5000
0.5000 0.0000 0.5000
```

Output
Energy relative to the elements, uncorrected: -0.814 eV/atom

=====

Entry 3:
The following is a DFT calculation (PBE) of a geometry-optimized UTcS2 structure.

Structure (POSCAR):
```
UTcS2
1.0
3.0543 0.0000 0.0000
1.5272 2.6451 0.0000
1.5272 0.8817 8.8590
S Tc U
2 1 1
direct
0.3958 0.3958 0.8127
0.6042 0.6042 0.1873
0.0000 0.0000 0.0000
0.5000 0.5000 0.5000
```

Output
Energy relative to the elements, uncorrected: -0.206 eV/atom

=====

Entry 4:
The following is a DFT calculation (PBE) of a geometry-optimized U2TcS structure.

Structure (POSCAR):
```
U2TcS
1.0
-0.2040 -1.8820 -3.2639
3.1609 -1.0434 -1.7768
0.9519 -6.8407 1.7041
U Tc S
2 1 1
direct
0.2514 0.2514 0.2458
0.7486 0.7486 0.7542
0.0000 0.0000 0.0000
0.5000 0.5000 0.5000
```

Output
Energy relative to the elements, uncorrected: -0.433 eV/atom

=====

Entry 5:
The following is a DFT calculation (PBE) of a geometry-optimized VTcS2 structure.

Structure (POSCAR):
```
VTcS2
1.0
4.6874 0.0000 0.0000
0.0000 4.6874 0.0000
2.3437 2.3437 6.2743
S Tc V
4 2 2
direct
0.3750 0.3773 0.7500
0.1273 0.6250 0.2500
0.8750 0.8727 0.7500
0.6227 0.1250 0.2500
0.0000 0.0000 0.0000
0.7500 0.2500 0.5000
0.5000 0.5000 0.0000
0.2500 0.7500 0.5000
```

Output
Energy relative to the elements, uncorrected: -0.344 eV/atom
Relative energy among the computed polymorphs: 0.0 kJ per mole of atoms

=====

Entry 6:
The following is a DFT calculation (PBE) of a geometry-optimized V3TcS structure.

Structure (POSCAR):
```
V3TcS
1.0
-3.7259 2.6188 0.1570
-0.7002 -0.7297 -4.4432
-2.5284 -3.6571 0.9990
Tc S V
1 1 3
direct
0.0000 0.0000 0.0000
0.5000 0.5000 0.5000
0.5000 0.0000 0.0000
0.0000 0.5000 0.0000
0.0000 0.0000 0.5000
```

Output
Energy relative to the elements, uncorrected: 1.191 eV/atom
Relative energy among the computed polymorphs: 90.9 kJ per mole of atoms

=====

Entry 7:
The following is a DFT calculation (PBE) of a geometry-optimized VTc3S structure.

Structure (POSCAR):
```
VTc3S
1.0
4.3137 0.0000 0.0000
0.0000 4.3137 0.0000
0.0000 0.0000 4.3137
Tc S V
3 1 1
direct
0.0000 0.5000 0.0000
0.0000 0.0000 0.5000
0.5000 0.0000 0.0000
0.0000 0.0000 0.0000
0.5000 0.5000 0.5000
```

Output
Energy relative to the elements, uncorrected: 0.484 eV/atom
Relative energy among the computed polymorphs: 0.0 kJ per mole of atoms

=====

Entry 8:
The following is a DFT calculation (PBE) of a geometry-optimized VTcS structure.

Structure (POSCAR):
```
VTcS
1.0
-1.4497 -1.6767 -1.9007
1.7092 -3.2792 1.5891
-3.4935 1.3593 1.4654
V Tc S
1 1 1
direct
0.6668 0.3333 0.6667
0.1666 0.0000 0.0000
0.1666 0.6667 0.3333
```

Output
Energy relative to the elements, uncorrected: -0.217 eV/atom
Relative energy among the computed polymorphs: 5.3 kJ per mole of atoms

=====

Entry 9:
The following is a DFT calculation (PBE) of a geometry-optimized VTcS4 structure.

Structure (POSCAR):
```
VTcS4
1.0
-5.2896 -0.8838 -2.2560
-1.0259 -4.0882 4.0070
-2.2686 4.0283 3.5291
S V Tc
8 2 2
direct
0.3790 0.8824 0.1067
0.1210 0.3824 0.8933
0.1052 0.8904 0.6179
0.3948 0.3904 0.3821
0.8790 0.6176 0.1067
0.8948 0.1096 0.3821
0.6210 0.1176 0.8933
0.6052 0.6096 0.6179
0.0000 0.5000 0.5000
0.5000 0.0000 0.5000
0.5000 0.5000 0.0000
0.0000 0.0000 0.0000
```

Output
Energy relative to the elements, uncorrected: -0.459 eV/atom

=====

Entry 10:
The following is a DFT calculation (PBE) of a geometry-optimized VTcS2 structure.

Structure (POSCAR):
```
VTcS2
1.0
-1.7271 -0.3365 3.7909
-3.4128 -2.3512 0.5402
0.2564 -3.6040 2.1007
Tc S V
1 2 1
direct
0.5000 0.5000 0.5000
0.2500 0.2500 0.2500
0.7500 0.7500 0.7500
0.0000 0.0000 0.0000
```

Output
Energy relative to the elements, uncorrected: -0.253 eV/atom
Relative energy among the computed polymorphs: 8.8 kJ per mole of atoms

=====

Entry 11:
The following is a DFT calculation (PBE) of a geometry-optimized V3TcS structure.

Structure (POSCAR):
```
V3TcS
1.0
4.2315 0.0000 0.0000
0.0000 4.2315 0.0000
0.0000 0.0000 4.2315
V Tc S
3 1 1
direct
0.5000 0.0000 0.0000
0.0000 0.5000 0.0000
0.0000 0.0000 0.5000
0.5000 0.5000 0.5000
0.0000 0.0000 0.0000
```

Output
Energy relative to the elements, uncorrected: 0.249 eV/atom
Relative energy among the computed polymorphs: 0.0 kJ per mole of atoms

=====

Entry 12:
The following is a DFT calculation (PBE) of a geometry-optimized VTcS3 structure.

Structure (POSCAR):
```
VTcS3
1.0
-1.6885 1.6131 3.9312
3.5374 -1.8102 2.2622
2.3544 3.8767 -0.5795
S V Tc
3 1 1
direct
0.0000 0.0000 0.5000
0.0000 0.5000 0.0000
0.5000 0.0000 0.0000
0.0000 0.0000 0.0000
0.5000 0.5000 0.5000
```

Output
Energy relative to the elements, uncorrected: 0.424 eV/atom
Relative energy among the computed polymorphs: 0.0 kJ per mole of atoms

=====

Entry 13:
The following is a DFT calculation (PBE) of a geometry-optimized VTcS3 structure.

Structure (POSCAR):
```
VTcS3
1.0
4.6349 0.0000 0.0000
0.0000 4.6349 0.0000
0.0000 0.0000 4.6349
S V Tc
3 1 1
direct
0.0000 0.5000 0.0000
0.5000 0.0000 0.0000
0.0000 0.0000 0.5000
0.5000 0.5000 0.5000
0.0000 0.0000 0.0000
```

Output
Energy relative to the elements, uncorrected: 0.443 eV/atom
Relative energy among the computed polymorphs: 1.8 kJ per mole of atoms

=====

Entry 14:
The following is a DFT calculation (PBE) of a geometry-optimized VTcS structure.

Structure (POSCAR):
```
VTcS
1.0
2.9132 0.0000 0.0000
0.0000 2.9132 0.0000
0.0000 0.0000 9.5314
V S Tc
2 2 2
direct
0.5000 0.0000 0.3932
0.0000 0.5000 0.6068
0.5000 0.0000 0.7223
0.0000 0.5000 0.2777
0.5000 0.0000 0.0861
0.0000 0.5000 0.9139
```

Output
Energy relative to the elements, uncorrected: -0.273 eV/atom
Relative energy among the computed polymorphs: 0.0 kJ per mole of atoms

=====

Entry 15:
The following is a DFT calculation (PBE) of a geometry-optimized VTc3S structure.

Structure (POSCAR):
```
VTc3S
1.0
4.4834 0.0000 0.0000
0.0000 4.4834 0.0000
0.0000 0.0000 4.4834
V Tc S
1 3 1
direct
0.0000 0.0000 0.0000
0.5000 0.0000 0.0000
0.0000 0.0000 0.5000
0.0000 0.5000 0.0000
0.5000 0.5000 0.5000
```

Output
Energy relative to the elements, uncorrected: 1.568 eV/atom
Relative energy among the computed polymorphs: 104.7 kJ per mole of atoms

=====

Entry 16:
The following is a DFT calculation (PBE) of a geometry-optimized V4TcS8 structure.

Structure (POSCAR):
```
V4TcS8
1.0
5.7582 -0.0004 -3.1066
-3.7169 5.3844 -0.0004
0.0963 0.0670 7.0683
S V Tc
8 4 1
direct
0.9956 0.7473 0.2440
0.0044 0.2527 0.7560
0.5073 0.2536 0.7609
0.5033 0.7517 0.7560
0.9956 0.2483 0.2440
0.4967 0.2483 0.2440
0.0044 0.7517 0.7560
0.4927 0.7464 0.2391
0.5000 0.0000 0.0000
0.0000 0.5000 0.0000
0.0000 0.0000 0.0000
0.5000 0.5000 0.0000
0.0000 0.5000 0.5000
```

Output
Energy relative to the elements, uncorrected: -0.669 eV/atom

=====

Entry 17:
The following is a DFT calculation (PBE) of a geometry-optimized VTcS2 structure.

Structure (POSCAR):
```
VTcS2
1.0
-7.0376 -1.1721 3.5269
-7.1971 -3.1411 1.2943
-5.8059 -3.8701 3.8280
Tc S V
1 2 1
direct
0.0000 0.0000 0.0000
0.0989 0.0989 0.0989
0.9011 0.9011 0.9011
0.5000 0.5000 0.5000
```

Output
Energy relative to the elements, uncorrected: -0.337 eV/atom
Relative energy among the computed polymorphs: 0.7 kJ per mole of atoms

=====

Entry 18:
The following is a DFT calculation (PBE) of a geometry-optimized TcWS2 structure.

Structure (POSCAR):
```
TcWS2
1.0
1.7514 0.0000 7.9337
-0.8757 1.5167 7.9337
-0.8757 -1.5167 7.9337
W S Tc
1 2 1
direct
0.5000 0.5000 0.5000
0.9044 0.9044 0.9044
0.0956 0.0956 0.0956
0.0000 0.0000 0.0000
```

Output
Energy relative to the elements, uncorrected: -0.041 eV/atom
Relative energy among the computed polymorphs: 0.0 kJ per mole of atoms

=====

Entry 19:
The following is a DFT calculation (PBE) of a geometry-optimized TcWS3 structure.

Structure (POSCAR):
```
TcWS3
1.0
-3.2372 3.1036 -0.5666
-2.1046 -1.5196 3.7006
2.3503 2.9140 2.5332
Tc S W
1 3 1
direct
0.0000 0.0000 0.0000
0.0000 0.5000 0.0000
0.5000 0.0000 0.0000
0.0000 0.0000 0.5000
0.5000 0.5000 0.5000
```

Output
Energy relative to the elements, uncorrected: 1.227 eV/atom
Relative energy among the computed polymorphs: 50.7 kJ per mole of atoms

=====

Entry 20:
The following is a DFT calculation (PBE) of a geometry-optimized TcW2S structure.

Structure (POSCAR):
```
TcW2S
1.0
5.5296 0.0000 0.0000
0.0000 5.5296 0.0000
2.7648 2.7648 5.4955
S W Tc
2 4 2
direct
0.5000 0.5000 0.0000
0.2500 0.7500 0.5000
0.1454 0.6250 0.2500
0.8750 0.8546 0.7500
0.6046 0.1250 0.2500
0.3750 0.3954 0.7500
0.0000 0.0000 0.0000
0.7500 0.2500 0.5000
```

Output
Energy relative to the elements, uncorrected: 1.022 eV/atom

=====

Entry 21:
The following is a DFT calculation (PBE) of a geometry-optimized TcWS3 structure.

Structure (POSCAR):
```
TcWS3
1.0
4.6849 0.0000 0.0000
0.0000 4.6849 0.0000
0.0000 0.0000 4.6849
S Tc W
3 1 1
direct
0.0000 0.5000 0.0000
0.0000 0.0000 0.5000
0.5000 0.0000 0.0000
0.5000 0.5000 0.5000
0.0000 0.0000 0.0000
```

Output
Energy relative to the elements, uncorrected: 0.701 eV/atom
Relative energy among the computed polymorphs: 0.0 kJ per mole of atoms

=====

Entry 22:
The following is a DFT calculation (PBE) of a geometry-optimized TcW3S structure.

Structure (POSCAR):
```
TcW3S
1.0
-0.4029 1.6865 -4.0196
3.3407 -2.4736 -1.3727
-2.8001 -3.1938 -1.0593
S W Tc
1 3 1
direct
0.0000 0.0000 0.0000
0.0000 0.5000 0.0000
0.0000 0.0000 0.5000
0.5000 0.0000 0.0000
0.5000 0.5000 0.5000
```

Output
Energy relative to the elements, uncorrected: 0.997 eV/atom
Relative energy among the computed polymorphs: 0.0 kJ per mole of atoms

=====

Entry 23:
The following is a DFT calculation (PBE) of a geometry-optimized TcWS structure.

Structure (POSCAR):
```
TcWS
1.0
-0.0063 2.7715 -1.2157
-5.1453 -1.8048 -0.3208
8.2214 2.9142 6.6009
S Tc W
2 2 2
direct
0.4295 0.8590 0.0816
0.5705 0.1410 0.9184
0.7564 0.5129 0.7169
0.2436 0.4871 0.2831
0.9704 0.9409 0.6534
0.0296 0.0591 0.3466
```

Output
Energy relative to the elements, uncorrected: -0.140 eV/atom

=====

Entry 24:
The following is a DFT calculation (PBE) of a geometry-optimized Tc3WS structure.

Structure (POSCAR):
```
Tc3WS
1.0
-3.7145 2.9433 0.3484
0.1133 -0.4171 4.7324
2.9617 3.7075 0.2558
W Tc S
1 3 1
direct
0.0000 0.0000 0.0000
0.5000 0.0000 0.0000
0.0000 0.0000 0.5000
0.0000 0.5000 0.0000
0.5000 0.5000 0.5000
```

Output
Energy relative to the elements, uncorrected: 2.061 eV/atom
Relative energy among the computed polymorphs: 133.9 kJ per mole of atoms

=====

Entry 25:
The following is a DFT calculation (PBE) of a geometry-optimized TcWS2 structure.

Structure (POSCAR):
```
TcWS2
1.0
0.0000 2.9970 2.9970
2.9970 0.0000 2.9970
2.9970 2.9970 0.0000
S W Tc
2 1 1
direct
0.2500 0.2500 0.2500
0.7500 0.7500 0.7500
0.5000 0.5000 0.5000
0.0000 0.0000 0.0000
```

Output
Energy relative to the elements, uncorrected: 0.093 eV/atom
Relative energy among the computed polymorphs: 13.0 kJ per mole of atoms

=====

Entry 26:
The following is a DFT calculation (PBE) of a geometry-optimized TcWS2 structure.

Structure (POSCAR):
```
TcWS2
1.0
-1.6549 -3.0779 4.1661
0.2005 -4.4083 -3.1773
4.0144 -4.4882 1.8274
Tc S W
2 4 2
direct
0.2500 0.7500 0.5000
0.5000 0.5000 0.0000
0.8750 0.8695 0.7500
0.3750 0.3805 0.7500
0.6195 0.1250 0.2500
0.1305 0.6250 0.2500
0.7500 0.2500 0.5000
0.0000 0.0000 0.0000
```

Output
Energy relative to the elements, uncorrected: 0.151 eV/atom
Relative energy among the computed polymorphs: 18.5 kJ per mole of atoms

=====

Entry 27:
The following is a DFT calculation (PBE) of a geometry-optimized Tc2WS structure.

Structure (POSCAR):
```
Tc2WS
1.0
5.5511 0.0000 0.0000
0.0000 5.5511 0.0000
2.7755 2.7755 5.2294
W Tc S
2 4 2
direct
0.7500 0.2500 0.5000
0.0000 0.0000 0.0000
0.5958 0.1250 0.2500
0.3750 0.4042 0.7500
0.1542 0.6250 0.2500
0.8750 0.8458 0.7500
0.2500 0.7500 0.5000
0.5000 0.5000 0.0000
```

Output
Energy relative to the elements, uncorrected: 0.662 eV/atom